Entry from Alexandria via LeMat-Bulk: a relaxed structure of Th2ScCd6 (PBE-GGA).

calculated volume	222.2	Å³ per cell
mass density	8.85	g/cm3
spin magnetization	0.0	Bohr magnetons per cell
uncorrected energy	-0.2312	Ry per atom

Unit cell a=8.7613 b=8.7613 c=3.3417 alpha=90.00 beta=90.00 gamma=120.00
Space group P6/mmm (No. 191)
One atom of each set of equivalent atoms:
Th 0.3333 0.6667 0.0000 x2
Sc 0.0000 0.0000 0.0000 x1
Cd 0.0000 0.3249 0.5000 x6

=====

Entry from Alexandria via LeMat-Bulk: a relaxed structure of ThSc2Cd6 (PBE-GGA).

calculated volume	211.4	Å³ per cell
mass density	7.83	g/cm3
spin magnetization	0.0	Bohr magnetons per cell
uncorrected energy	-0.2235	Ry per atom

Unit cell a=8.6061 b=8.6061 c=3.2964 alpha=90.00 beta=90.00 gamma=120.00
Space group P6/mmm (No. 191)
One atom of each set of equivalent atoms:
Th 0.0000 0.0000 0.0000 x1
Sc 0.3333 0.6667 0.0000 x2
Cd 0.0000 0.3398 0.5000 x6

=====

Entry from Alexandria via LeMat-Bulk: a relaxed structure of ThSc5Cd4 (PBE-GGA).

calculated volume	232.7	Å³ per cell
mass density	6.47	g/cm3
spin magnetization	0.0	Bohr magnetons per cell
uncorrected energy	-0.3316	Ry per atom

Unit cell a=3.520 b=3.520 c=18.778 alpha=90.00 beta=90.00 gamma=90.00
Space group P4/mmm (No. 123)
One atom of each set of equivalent atoms:
Th 0.000 0.000 0.000 x1
Sc 0.500 0.500 0.119 x2
Sc 0.500 0.500 0.311 x2
Sc 0.500 0.500 0.500 x1
Cd 0.000 0.000 0.215 x2
Cd 0.000 0.000 0.405 x2

=====

Entry from Alexandria via LeMat-Bulk: a relaxed structure of ThScCd3 (PBE-GGA).

calculated volume	491.5	Å³ per cell
mass density	8.30	g/cm3
spin magnetization	0.0	Bohr magnetons per cell
uncorrected energy	-0.2563	Ry per atom

Unit cell a=3.366 b=29.457 c=4.958 alpha=90.00 beta=90.00 gamma=90.00
Space group Cmcm (No. 63)
One atom of each set of equivalent atoms:
Th 0.000 0.077 0.250 x4
Sc 0.000 0.217 0.750 x4
Cd 0.000 0.318 0.750 x4
Cd 0.000 0.372 0.250 x4
Cd 0.000 0.475 0.250 x4

=====

Entry from Alexandria via LeMat-Bulk: a relaxed structure of Th2ScCd (PBE-GGA).

calculated volume	363.5	Å³ per cell
mass density	8.52	g/cm3
spin magnetization	0.0	Bohr magnetons per cell
offset from the most stable computed form	0.238	eV per atom
uncorrected energy	-0.3881	Ry per atom

Unit cell a=3.3794 b=3.3794 c=36.7531 alpha=90.00 beta=90.00 gamma=120.00
Space group R-3m (No. 166, hexagonal axes)
One atom of each set of equivalent atoms:
Th 0.0000 0.0000 0.0903 x6
Sc 0.0000 0.0000 0.5000 x3
Cd 0.0000 0.0000 0.0000 x3

=====

Entry from Alexandria via LeMat-Bulk: a relaxed structure of Th2ScCd (PBE-GGA).

calculated volume	114.5	Å³ per cell
mass density	9.01	g/cm3
spin magnetization	0.0	Bohr magnetons per cell
offset from the most stable computed form	0.000	eV per atom
uncorrected energy	-0.4056	Ry per atom

Unit cell a=3.409 b=3.409 c=9.851 alpha=90.00 beta=90.00 gamma=90.00
Space group P4/mmm (No. 123)
One atom of each set of equivalent atoms:
Th 0.000 0.000 0.249 x2
Sc 0.500 0.500 0.500 x1
Cd 0.500 0.500 0.000 x1